1.
Compound: Hf2NbTl
Source: the Alexandria database
Functional: PBE
Structure: relaxed

Results
The energy of formation from the pure elements comes out at 0.12 eV/atom. As for the offset from the most stable computed form: 143 meV/atom. Its space-group type is Fm-3m. As for the volume: 83.8 Å³/f.u. The magnetization is 0.0 μB per cell.

Unit cell a=4.911 b=4.911 c=4.911 alpha=60.00 beta=60.00 gamma=60.00
Sites, in units of the cell vectors:
Hf 0.250 0.250 0.250
Hf 0.750 0.750 0.750
Nb 0.000 0.000 0.000
Tl 0.500 0.500 0.500



2.
Compound: Fe2SnAs2
Source: the Alexandria database
Functional: PBE
Structure: relaxed

Results
The energy of formation from the pure elements comes out at 0.06 eV/atom. As for the offset from the most stable computed form: 0 meV/atom. Its space-group type is I4/mmm. As for the volume: 82.3 Å³/f.u. The magnetization is 0.0 μB per cell.

Unit cell a=5.660 b=5.660 c=5.660 alpha=137.34 beta=137.34 gamma=61.92
Sites, in units of the cell vectors:
Fe 0.250 0.750 0.500
Fe 0.750 0.250 0.500
Sn 0.000 0.000 0.000
As 0.364 0.364 0.000
As 0.636 0.636 0.000



3.
Compound: PuFe4Mo
Source: the Alexandria database
Functional: PBE
Structure: relaxed

Results
The energy of formation from the pure elements comes out at 0.11 eV/atom. Its space-group type is F-43m. As for the volume: 82.2 Å³/f.u. The magnetization is 0.2 μB per cell.

Unit cell a=4.880 b=4.880 c=4.880 alpha=60.00 beta=60.00 gamma=60.00
Sites, in units of the cell vectors:
Pu 0.000 0.000 0.000
Fe 0.375 0.375 0.375
Fe 0.375 0.375 0.874
Fe 0.375 0.874 0.375
Fe 0.874 0.375 0.375
Mo 0.750 0.750 0.750



4.
Compound: SmScTl
Source: the Alexandria database
Functional: PBE
Structure: relaxed

Results
The energy of formation from the pure elements comes out at -0.19 eV/atom. As for the offset from the most stable computed form: 73 meV/atom. Its space-group type is I4mm. As for the volume: 82.1 Å³/f.u. The magnetization is 0.0 μB per cell.

Unit cell a=7.051 b=7.051 c=7.051 alpha=151.02 beta=151.02 gamma=41.45
Sites, in units of the cell vectors:
Sm 0.000 0.000 0.000
Sc 0.318 0.318 0.000
Tl 0.674 0.674 0.000